# 1
A relaxed BeMoW2 crystal. Source: Alexandria, functional PBE.

a b c (Å): 5.1274 5.1274 2.6968
angles (deg): 100.51 100.51 116.97
Element x y z (fractional)
Be1 0.0000 0.0000 0.0000
Mo1 0.5000 0.5000 0.0000
W1 0.0000 0.5000 0.5000
W2 0.5000 0.0000 0.5000

Properties
The total magnetic moment comes out at 0.000 μB/cell. For the calculated formation energy, the calculation gives 0.81 eV per formula unit. The value obtained for the density of states at the Fermi level is 1.6 states/eV/f.u. Its uncorrected energy is -39.656 eV/cell.

***

# 2
A relaxed BeMoW crystal. Source: Alexandria, functional PBE.

a b c (Å): 9.1651 8.5271 4.7342
angles (deg): 82.08 67.15 30.77
Element x y z (fractional)
Be1 0.9996 0.9996 0.2504
Be2 0.0004 0.0004 0.7496
Be3 0.2504 0.2504 0.9996
Be4 0.7496 0.7496 0.0004
Mo1 0.2919 0.2919 0.4581
Mo2 0.4581 0.4581 0.2919
Mo3 0.5419 0.5419 0.7081
Mo4 0.7081 0.7081 0.5419
W1 0.0410 0.7090 0.0410
W2 0.2910 0.9590 0.2910
W3 0.7090 0.0410 0.7090
W4 0.9590 0.2910 0.9590

Properties
The total magnetic moment comes out at 0.000 μB/cell. For the calculated formation energy, the calculation gives -0.32 eV per formula unit. The value obtained for the density of states at the Fermi level is 1.9 states/eV/f.u. Its uncorrected energy is -111.330 eV/cell.